(1)
Below is a relaxed structure of MnNbSi2, with properties calculated at the GGA-PBE level.

Properties
The final energy comes out at -7.5618 eV per atom. The value obtained for the calculated volume is 54.65 Å³ per cell.

Unit cell a=4.2595 b=4.2595 c=4.2595 alpha=60.00 beta=60.00 gamma=60.00
Closest atoms and distances in Å follow each position.
Fractional positions:
Si1 0.2500 0.2500 0.2500  4 Nb 2.61, 4 Mn 2.61
Si2 0.7500 0.7500 0.7500  4 Mn 2.61, 4 Nb 2.61
Mn1 0.0000 0.0000 0.0000  8 Si 2.61
Nb1 0.5000 0.5000 0.5000  8 Si 2.61


(2)
Below is a relaxed structure of MnNb3Si, with properties calculated at the GGA-PBE level.

Properties
The final energy comes out at -7.8757 eV per atom. The value obtained for the calculated volume is 98.34 Å³ per cell.

Unit cell a=4.6157 b=4.6157 c=4.6157 alpha=90.00 beta=90.00 gamma=90.00
Closest atoms and distances in Å follow each position.
Fractional positions:
Nb1 0.0000 0.5000 0.0000  2 Si 2.31
Nb2 0.0000 0.0000 0.5000  2 Si 2.31
Nb3 0.5000 0.0000 0.0000  2 Si 2.31
Mn1 0.5000 0.5000 0.5000  12 Nb 3.26
Si1 0.0000 0.0000 0.0000  6 Nb 2.31


(3)
Below is a relaxed structure of MnNb2Si4, with properties calculated at the GGA-PBE level.

Properties
The final energy comes out at -6.9531 eV per atom. The value obtained for the calculated volume is 121.33 Å³ per cell.

Unit cell a=4.4146 b=4.4146 c=6.9645 alpha=71.52 beta=71.52 gamma=90.00
Closest atoms and distances in Å follow each position.
Fractional positions:
Mn1 0.0000 0.0000 0.0000  6 Si 2.21-2.29
Si1 0.5000 0.0000 0.0000  2 Mn 2.21
Si2 0.0000 0.5000 0.0000  2 Mn 2.21
Si3 0.8158 0.8158 0.3684  1 Mn 2.29, 1 Nb 2.56
Si4 0.1842 0.1842 0.6316  1 Mn 2.29, 1 Nb 2.56
Nb1 0.3896 0.3896 0.2208  5 Si 2.56-2.60, 1 Nb 2.75
Nb2 0.6104 0.6104 0.7792  5 Si 2.56-2.60, 1 Nb 2.75


(4)
Below is a relaxed structure of Mn2NbSi, with properties calculated at the GGA-PBE level.

Properties
The final energy comes out at -8.7510 eV per atom. The value obtained for the calculated volume is 51.22 Å³ per cell.

Unit cell a=3.0736 b=4.0820 c=4.0820 alpha=90.00 beta=90.00 gamma=90.00
Closest atoms and distances in Å follow each position.
Fractional positions:
Si1 0.5000 0.0000 0.0000  8 Mn 2.55
Mn1 0.0000 0.0000 0.5000  4 Nb 2.55, 4 Si 2.55
Mn2 0.0000 0.5000 0.0000  4 Nb 2.55, 4 Si 2.55
Nb1 0.5000 0.5000 0.5000  8 Mn 2.55


(5)
Below is a relaxed structure of Mn8Nb3Si, with properties calculated at the GGA-PBE level.

Properties
The final energy comes out at -9.2405 eV per atom. The value obtained for the calculated volume is 153.56 Å³ per cell.

Unit cell a=4.7581 b=4.7581 c=7.8322 alpha=90.00 beta=90.00 gamma=120.00
Closest atoms and distances in Å follow each position.
Fractional positions:
Mn1 0.3333 0.6667 0.0115  6 Mn 2.37-2.50
Mn2 0.5043 0.0086 0.7473  6 Mn 2.32-2.50
Mn3 0.6809 0.8405 0.2526  6 Mn 2.28-2.48
Mn4 0.5043 0.4957 0.7473  6 Mn 2.32-2.50
Mn5 0.1595 0.8405 0.2526  6 Mn 2.28-2.48
Mn6 0.3333 0.6667 0.5028  6 Mn 2.38-2.43
Mn7 0.9914 0.4957 0.7473  6 Mn 2.32-2.50
Mn8 0.1595 0.3191 0.2526  6 Mn 2.28-2.48
Nb1 0.6667 0.3333 0.4442  12 Mn 2.73-2.81, 3 Si 2.89, 1 Nb 2.96
Nb2 0.6667 0.3333 0.0661  12 Mn 2.78-2.83, 4 Nb 2.96-2.98
Nb3 0.0000 0.0000 0.9173  12 Mn 2.73-2.94, 1 Si 2.81, 3 Nb 2.98
Si1 0.0000 0.0000 0.5584  12 Mn 2.73-2.80, 4 Nb 2.81-2.89


(6)
Below is a relaxed structure of Mn2Nb4Si5, with properties calculated at the GGA-PBE level.

Properties
The final energy comes out at -8.3538 eV per atom. The value obtained for the calculated volume is 319.12 Å³ per cell.

Unit cell a=4.9989 b=7.9157 c=9.3249 alpha=115.11 beta=105.55 gamma=90.00
Closest atoms and distances in Å follow each position.
Fractional positions:
Nb1 0.5634 0.3198 0.1268  7 Si 2.53-2.81
Nb2 0.3576 0.9693 0.7153  7 Si 2.66-2.89
Nb3 0.1424 0.2540 0.2847  7 Si 2.66-2.89
Nb4 0.9366 0.1930 0.8732  7 Si 2.53-2.81
Nb5 0.6424 0.0307 0.2847  7 Si 2.66-2.89
Nb6 0.8576 0.7460 0.7153  7 Si 2.66-2.89
Nb7 0.4366 0.6802 0.8732  7 Si 2.53-2.81
Nb8 0.0634 0.8070 0.1268  7 Si 2.53-2.81
Si1 0.7192 0.4247 0.4384  4 Mn 2.48-2.68, 2 Nb 2.54-2.66, 2 Si 2.78
Si2 0.4282 0.3467 0.8564  2 Mn 2.42, 3 Nb 2.53-2.68, 1 Si 2.65
Si3 0.2500 0.0000 0.0000  2 Si 2.50, 8 Nb 2.59-2.76
Si4 0.5718 0.6533 0.1436  2 Mn 2.42, 3 Nb 2.53-2.68, 1 Si 2.65
Si5 0.9282 0.5096 0.8564  2 Mn 2.42, 3 Nb 2.53-2.68, 1 Si 2.65
Si6 0.2192 0.0136 0.4384  4 Mn 2.48-2.68, 2 Nb 2.54-2.66, 2 Si 2.78
Si7 0.0718 0.4904 0.1436  2 Mn 2.42, 3 Nb 2.53-2.68, 1 Si 2.65
Si8 0.7808 0.9864 0.5616  4 Mn 2.48-2.68, 2 Nb 2.54-2.66, 2 Si 2.78
Si9 0.7500 0.0000 0.0000  2 Si 2.50, 8 Nb 2.59-2.76
Si10 0.2808 0.5753 0.5616  4 Mn 2.48-2.68, 2 Nb 2.54-2.66, 2 Si 2.78
Mn1 0.4441 0.6941 0.3882  6 Si 2.42-2.68, 2 Mn 2.50
Mn2 0.0559 0.3059 0.6118  6 Si 2.42-2.68, 2 Mn 2.50
Mn3 0.5559 0.3059 0.6118  6 Si 2.42-2.68, 2 Mn 2.50
Mn4 0.9441 0.6941 0.3882  6 Si 2.42-2.68, 2 Mn 2.50


(7)
Below is a relaxed structure of MnNbSi, with properties calculated at the GGA-PBE level.

Properties
The final energy comes out at -8.7823 eV per atom. The value obtained for the calculated volume is 124.74 Å³ per cell.

Unit cell a=6.4308 b=6.4308 c=3.4831 alpha=90.00 beta=90.00 gamma=120.00
Closest atoms and distances in Å follow each position.
Fractional positions:
Mn1 0.7550 0.7550 0.0000  4 Si 2.35-2.48
Mn2 0.2450 0.0000 0.0000  4 Si 2.35-2.48
Mn3 0.0000 0.2450 0.0000  4 Si 2.35-2.48
Si1 0.0000 0.0000 0.5000  6 Mn 2.35
Si2 0.6667 0.3333 0.0000  3 Mn 2.48, 6 Nb 2.61
Si3 0.3333 0.6667 0.0000  3 Mn 2.48, 6 Nb 2.61
Nb1 0.4108 0.4108 0.5000  5 Si 2.61-2.64, 6 Mn 2.82-2.89
Nb2 0.5892 0.0000 0.5000  5 Si 2.61-2.64, 6 Mn 2.82-2.89
Nb3 0.0000 0.5892 0.5000  5 Si 2.61-2.64, 6 Mn 2.82-2.89


(8)
Below is a relaxed structure of MnNb3Si, with properties calculated at the GGA-PBE level.

Properties
The final energy comes out at -8.2742 eV per atom. The value obtained for the calculated volume is 94.73 Å³ per cell.

Unit cell a=4.5586 b=4.5586 c=4.5586 alpha=90.00 beta=90.00 gamma=90.00
Closest atoms and distances in Å follow each position.
Fractional positions:
Nb1 0.0000 0.0000 0.5000  2 Mn 2.28
Nb2 0.0000 0.5000 0.0000  2 Mn 2.28
Nb3 0.5000 0.0000 0.0000  2 Mn 2.28
Si1 0.5000 0.5000 0.5000  12 Nb 3.22
Mn1 0.0000 0.0000 0.0000  6 Nb 2.28